First-principles (PBE-GGA) data for TaCu2Au2 after structural relaxation, as listed in Alexandria.

Cell lengths 7.304, 7.304, 2.930 Å; angles 90.00, 90.00, 90.00 degrees
Space group P4/mbm (No. 127)
Asymmetric unit:
Ta 0.000 0.000 0.000 x2
Cu 0.119 0.381 0.000 x4
Au 0.180 0.680 0.500 x4

Calculated values
Energy of formation from the pure elements: 0.54 eV/f.u.
N(E_F): 0.856 states/eV per atom
Volume: 15.629 Å³ per atom
Final energy: -52.120 eV for the cell shown
Density: 14.92 g/cm³
Total magnetization: 0.000 μB per formula unit